No. 1
TaAgRu2: optimized geometry, PBE.

The structure belongs to space group Cmmm (No. 65); the cell edges are 3.1417, 4.6958 and 8.8774 Å and the angles 90.00°, 90.00° and 90.00°. The asymmetric unit holds Ta at (0.0000, 0.0000, 0.0000), Ag at (0.0000, 0.0000, 0.5000) and Ru at (0.0000, 0.5000, 0.2302).

The distance to the lowest polymorph of the same formula is 99 meV per atom. For the formation energy, the calculation gives 0.1683 eV per atom. The value obtained for the energy is -8.146 eV per atom.



No. 2
YCr2Mo: optimized geometry, PBE.

The structure belongs to space group Pmmm (No. 47); the cell edges are 3.2943, 4.5357 and 4.6903 Å and the angles 90.00°, 90.00° and 90.00°. The asymmetric unit holds Y at (0.0000, 0.0000, 0.0000), Cr at (0.0000, 0.5000, 0.5000), Cr at (0.5000, 0.5000, 0.0000) and Mo at (0.5000, 0.0000, 0.5000).

The distance to the lowest polymorph of the same formula is 274 meV per atom. For the formation energy, the calculation gives 0.6287 eV per atom. The value obtained for the energy is -8.507 eV per atom.



No. 3
CuSbIr2: optimized geometry, PBE.

The structure belongs to space group Immm (No. 71); the cell edges are 3.0233, 4.7920 and 8.7529 Å and the angles 90.00°, 90.00° and 90.00°. The asymmetric unit holds Cu at (0.0000, 0.0000, 0.0000), Sb at (0.0000, 0.0000, 0.5000) and Ir at (0.0000, 0.5000, 0.2564).

The value obtained for the energy is -6.194 eV per atom.



No. 4
Pm5Sm3Er4: optimized geometry, PBE.

The structure belongs to space group P-1 (No. 2); the cell edges are 6.2289, 7.1864 and 8.8046 Å and the angles 90.06°, 90.02° and 90.02°. The asymmetric unit holds Pm at (0.0000, 0.0000, 0.0000), Pm at (0.3326, 0.5001, 0.3351), Pm at (0.4987, 0.7519, 0.9996), Sm at (0.0000, 0.5000, 0.0000), Sm at (0.1660, 0.2483, 0.6647), Er at (0.1671, 0.7526, 0.6646) and Er at (0.3342, 0.0002, 0.3358).

The distance to the lowest polymorph of the same formula is 0 meV per atom. For the formation energy, the calculation gives 0.0155 eV per atom. The value obtained for the energy is -4.665 eV per atom.



No. 5
Pr5Dy4Sc2: optimized geometry, PBE.

The structure belongs to space group Immm (No. 71); the cell edges are 3.4941, 9.2718 and 23.0298 Å and the angles 90.00°, 90.00° and 90.00°. The asymmetric unit holds Pr at (0.0000, 0.0000, 0.0000), Pr at (0.0000, 0.2938, 0.3468), Dy at (0.0000, 0.1887, 0.5000), Dy at (0.0000, 0.5000, 0.0988) and Sc at (0.0000, 0.5000, 0.2298).

The distance to the lowest polymorph of the same formula is 146 meV per atom. For the formation energy, the calculation gives 0.2267 eV per atom. The value obtained for the energy is -4.771 eV per atom.



No. 6
ErScMnAl: optimized geometry, PBE.

The structure belongs to space group F-43m (No. 216); the cell edges are 6.9213, 6.9213 and 6.9213 Å and the angles 90.00°, 90.00° and 90.00°. The asymmetric unit holds Er at (0.0000, 0.0000, 0.0000), Sc at (0.0000, 0.0000, 0.5000), Mn at (0.2500, 0.2500, 0.2500) and Al at (0.2500, 0.2500, 0.7500).

For the formation energy, the calculation gives -0.1106 eV per atom. The value obtained for the energy is -6.062 eV per atom.



No. 7
Pm2Ag2Pb: optimized geometry, PBE.

The structure belongs to space group P4/mbm (No. 127); the cell edges are 8.0798, 8.0798 and 4.0245 Å and the angles 90.00°, 90.00° and 90.00°. The asymmetric unit holds Pm at (0.1740, 0.3260, 0.0000), Ag at (0.1229, 0.6229, 0.5000) and Pb at (0.0000, 0.0000, 0.5000).

For the formation energy, the calculation gives -0.3576 eV per atom. The value obtained for the energy is -4.140 eV per atom.



No. 8
HfGa2MoH: optimized geometry, PBE.

The structure belongs to space group P4/mmm (No. 123); the cell edges are 4.3202, 4.3202 and 3.7629 Å and the angles 90.00°, 90.00° and 90.00°. The asymmetric unit holds Hf at (0.0000, 0.0000, 0.0000), Ga at (0.0000, 0.5000, 0.5000), Mo at (0.5000, 0.5000, 0.0000) and H at (0.5000, 0.5000, 0.5000).

The value obtained for the energy is -6.041 eV per atom.



Repeat the first record exactly.
TaAgRu2: optimized geometry, PBE.

The structure belongs to space group Cmmm (No. 65); the cell edges are 3.1417, 4.6958 and 8.8774 Å and the angles 90.00°, 90.00° and 90.00°. The asymmetric unit holds Ta at (0.0000, 0.0000, 0.0000), Ag at (0.0000, 0.0000, 0.5000) and Ru at (0.0000, 0.5000, 0.2302).

The distance to the lowest polymorph of the same formula is 99 meV per atom. For the formation energy, the calculation gives 0.1683 eV per atom. The value obtained for the energy is -8.146 eV per atom.



Copy entry 4 word for word.
Pm5Sm3Er4: optimized geometry, PBE.

The structure belongs to space group P-1 (No. 2); the cell edges are 6.2289, 7.1864 and 8.8046 Å and the angles 90.06°, 90.02° and 90.02°. The asymmetric unit holds Pm at (0.0000, 0.0000, 0.0000), Pm at (0.3326, 0.5001, 0.3351), Pm at (0.4987, 0.7519, 0.9996), Sm at (0.0000, 0.5000, 0.0000), Sm at (0.1660, 0.2483, 0.6647), Er at (0.1671, 0.7526, 0.6646) and Er at (0.3342, 0.0002, 0.3358).

The distance to the lowest polymorph of the same formula is 0 meV per atom. For the formation energy, the calculation gives 0.0155 eV per atom. The value obtained for the energy is -4.665 eV per atom.